[1]
Here is a relaxed MoIrPt2 crystal from the Alexandria database. Energies are from PBE-GGA.

Cell lengths 4.4552, 4.4552, 4.4552 Å; angles 60.00, 60.00, 60.00 degrees
With the nearest neighbours (Å) after each atom.
Fractional positions:
Mo: 0.0000 0.0000 0.0000  8 Pt 2.73
Ir: 0.5000 0.5000 0.5000  8 Pt 2.73
Pt: 0.2500 0.2500 0.2500  4 Ir 2.73, 4 Mo 2.73
Pt: 0.7500 0.7500 0.7500  4 Mo 2.73, 4 Ir 2.73

- distance to the lowest polymorph of the same formula (meV per atom) = 391
- calculated density (Mg/m³) = 18.0
- ΔE_f (eV per formula unit) = 0.56
- spin magnetization (μB/f.u.) = 0.0



[2]
Here is a relaxed AcEuSe crystal from the Alexandria database. Energies are from PBE-GGA.

Cell lengths 4.2201, 4.2201, 7.2333 Å; angles 90.00, 90.00, 120.00 degrees
With the nearest neighbours (Å) after each atom.
Fractional positions:
Ac: 0.0000 0.0000 0.0000  3 Se 3.18
Eu: 0.6667 0.3333 0.4702  3 Se 3.02
Se: 0.3333 0.6667 0.7180  3 Eu 3.02, 3 Ac 3.18

- distance to the lowest polymorph of the same formula (meV per atom) = 0
- calculated density (Mg/m³) = 6.8
- uncorrected formation energy (eV per atom) = -1.151
- spin magnetization (μB/f.u.) = 8.1



[3]
Here is a relaxed NbAlTe2 crystal from the Alexandria database. Energies are from PBE-GGA.

Cell lengths 9.0435, 9.0435, 9.0435 Å; angles 24.08, 24.08, 24.08 degrees
With the nearest neighbours (Å) after each atom.
Fractional positions:
Nb: 0.0000 0.0000 0.0000  2 Te 2.71
Al: 0.5000 0.5000 0.5000  6 Te 2.75
Te: 0.1029 0.1029 0.1029  1 Nb 2.71, 3 Al 2.75
Te: 0.8971 0.8971 0.8971  1 Nb 2.71, 3 Al 2.75

- calculated density (Mg/m³) = 5.8
- uncorrected formation energy (eV per atom) = 0.425
- spin magnetization (μB/f.u.) = 1.3



[4]
Here is a relaxed Nd4Bi2AsP crystal from the Alexandria database. Energies are from PBE-GGA.

Cell lengths 7.5763, 4.3731, 7.7447 Å; angles 90.00, 108.99, 90.00 degrees
With the nearest neighbours (Å) after each atom.
Fractional positions:
Nd: 0.2377 0.0000 0.2232  2 P 3.00, 1 As 3.03, 3 Bi 3.22-3.25
Nd: 0.2546 0.5000 0.7746  1 P 2.99, 2 As 3.03, 3 Bi 3.22-3.25
Nd: 0.7454 0.5000 0.2254  1 P 2.99, 2 As 3.03, 3 Bi 3.22-3.25
Nd: 0.7623 0.0000 0.7768  2 P 3.00, 1 As 3.03, 3 Bi 3.22-3.25
Bi: 0.0000 0.0000 0.5000  6 Nd 3.22
Bi: 0.5000 0.5000 0.5000  6 Nd 3.25
As: 0.5000 0.0000 0.0000  6 Nd 3.03
P: 0.0000 0.5000 0.0000  6 Nd 2.99-3.00

- calculated density (Mg/m³) = 7.5
- ΔE_f (eV per formula unit) = -9.65
- spin magnetization (μB/f.u.) = 0.0



[5]
Here is a relaxed Tm4TlC2 crystal from the Alexandria database. Energies are from PBE-GGA.

Cell lengths 14.2212, 14.2212, 14.2212 Å; angles 14.36, 14.36, 14.36 degrees
With the nearest neighbours (Å) after each atom.
Fractional positions:
Tm: 0.1247 0.1247 0.1247  3 C 2.41
Tm: 0.2712 0.2712 0.2712  3 C 2.47
Tm: 0.7288 0.7288 0.7288  3 C 2.47
Tm: 0.8753 0.8753 0.8753  3 C 2.41
Tl: 0.0000 0.0000 0.0000  6 Tm 3.33, 6 Tl 3.55
C: 0.4281 0.4281 0.4281  6 Tm 2.41-2.47
C: 0.5719 0.5719 0.5719  6 Tm 2.41-2.47

- calculated density (Mg/m³) = 9.8
- ΔE_f (eV per formula unit) = -2.71
- spin magnetization (μB/f.u.) = 0.0



[6]
Here is a relaxed CsNbTeS6 crystal from the Alexandria database. Energies are from PBE-GGA.

Cell lengths 6.5121, 6.5121, 8.0254 Å; angles 90.00, 90.00, 120.00 degrees
With the nearest neighbours (Å) after each atom.
Fractional positions:
Cs: 0.0000 0.0000 0.0000  6 S 3.61
Nb: 0.3333 0.6667 0.5000  6 S 2.45
Te: 0.6667 0.3333 0.5000  6 S 2.52
S: 0.0084 0.3981 0.6838  1 Nb 2.45, 1 Te 2.52
S: 0.0084 0.6103 0.3162  1 Nb 2.45, 1 Te 2.52
S: 0.3897 0.3981 0.3162  1 Nb 2.45, 1 Te 2.52
S: 0.3897 0.9916 0.6838  1 Nb 2.45, 1 Te 2.52
S: 0.6019 0.6103 0.6838  1 Nb 2.45, 1 Te 2.52
S: 0.6019 0.9916 0.3162  1 Nb 2.45, 1 Te 2.52

- calculated density (Mg/m³) = 3.1
- uncorrected formation energy (eV per atom) = -0.442
- spin magnetization (μB/f.u.) = 0.0



[7]
Here is a relaxed CsTbVCl6 crystal from the Alexandria database. Energies are from PBE-GGA.

Cell lengths 6.7015, 6.7015, 7.9372 Å; angles 90.00, 90.00, 120.00 degrees
With the nearest neighbours (Å) after each atom.
Fractional positions:
Cs: 0.0000 0.0000 0.0000  6 Cl 3.51
Tb: 0.6667 0.3333 0.5000  6 Cl 2.67
V: 0.3333 0.6667 0.5000  6 Cl 2.51
Cl: 0.0188 0.3788 0.6861  1 V 2.51, 1 Tb 2.67
Cl: 0.0188 0.6400 0.3139  1 V 2.51, 1 Tb 2.67
Cl: 0.3600 0.3788 0.3139  1 V 2.51, 1 Tb 2.67
Cl: 0.3600 0.9812 0.6861  1 V 2.51, 1 Tb 2.67
Cl: 0.6212 0.6400 0.6861  1 V 2.51, 1 Tb 2.67
Cl: 0.6212 0.9812 0.3139  1 V 2.51, 1 Tb 2.67

- calculated density (Mg/m³) = 3.0
- uncorrected formation energy (eV per atom) = -1.873
- spin magnetization (μB/f.u.) = 3.0



[8]
Here is a relaxed Hg2PtI2 crystal from the Alexandria database. Energies are from PBE-GGA.

Cell lengths 10.2505, 10.2505, 10.2505 Å; angles 157.97, 157.97, 31.36 degrees
With the nearest neighbours (Å) after each atom.
Fractional positions:
Hg: 0.2500 0.7500 0.5000  4 Hg 2.77
Hg: 0.7500 0.2500 0.5000  4 Hg 2.77
Pt: 0.0000 0.0000 0.0000  8 I 3.23
I: 0.4156 0.4156 0.0000  4 Pt 3.23, 1 I 3.33
I: 0.5844 0.5844 0.0000  4 Pt 3.23, 1 I 3.33

- distance to the lowest polymorph of the same formula (meV per atom) = 401
- calculated density (Mg/m³) = 9.3
- uncorrected formation energy (eV per atom) = 0.524
- spin magnetization (μB/f.u.) = 0.6



[9]
Here is a relaxed Cr2RuRh9 crystal from the Alexandria database. Energies are from PBE-GGA.

Cell lengths 3.8157, 3.8157, 11.4564 Å; angles 90.00, 90.00, 90.00 degrees
With the nearest neighbours (Å) after each atom.
Fractional positions:
Cr: 0.0000 0.0000 0.1626  12 Rh 2.67-2.73
Cr: 0.0000 0.0000 0.8374  12 Rh 2.67-2.73
Ru: 0.0000 0.0000 0.5000  12 Rh 2.70
Rh: 0.0000 0.5000 0.0000  4 Cr 2.67, 8 Rh 2.70
Rh: 0.0000 0.5000 0.3327  8 Rh 2.69-2.70, 2 Ru 2.70, 2 Cr 2.73
Rh: 0.0000 0.5000 0.6673  8 Rh 2.69-2.70, 2 Ru 2.70, 2 Cr 2.73
Rh: 0.5000 0.0000 0.0000  4 Cr 2.67, 8 Rh 2.70
Rh: 0.5000 0.0000 0.3327  8 Rh 2.69-2.70, 2 Ru 2.70, 2 Cr 2.73
Rh: 0.5000 0.0000 0.6673  8 Rh 2.69-2.70, 2 Ru 2.70, 2 Cr 2.73
Rh: 0.5000 0.5000 0.1668  8 Rh 2.69-2.70, 4 Cr 2.70
Rh: 0.5000 0.5000 0.5000  4 Ru 2.70, 8 Rh 2.70
Rh: 0.5000 0.5000 0.8332  8 Rh 2.69-2.70, 4 Cr 2.70

- calculated density (Mg/m³) = 11.3
- ΔE_f (eV per formula unit) = -0.79
- spin magnetization (μB/f.u.) = 3.8



[10]
Here is a relaxed Ni3Rh2 crystal from the Alexandria database. Energies are from PBE-GGA.

Cell lengths 9.1691, 9.1691, 9.1691 Å; angles 163.49, 163.49, 23.43 degrees
With the nearest neighbours (Å) after each atom.
Fractional positions:
Ni: 0.0000 0.0000 0.0000  8 Rh 2.62, 4 Ni 2.63
Ni: 0.2034 0.2034 0.0000  8 Ni 2.50-2.63, 4 Rh 2.60
Ni: 0.7966 0.7966 0.0000  8 Ni 2.50-2.63, 4 Rh 2.60
Rh: 0.3977 0.3977 0.0000  8 Ni 2.60-2.62, 4 Rh 2.63
Rh: 0.6023 0.6023 0.0000  8 Ni 2.60-2.62, 4 Rh 2.63

- distance to the lowest polymorph of the same formula (meV per atom) = 16
- calculated density (Mg/m³) = 10.2
- ΔE_f (eV per formula unit) = 0.30
- spin magnetization (μB/f.u.) = 3.4



[11]
Here is a relaxed YInTeRu2 crystal from the Alexandria database. Energies are from PBE-GGA.

Cell lengths 4.8957, 4.8957, 5.6337 Å; angles 90.00, 90.00, 90.00 degrees
With the nearest neighbours (Å) after each atom.
Fractional positions:
Y: 0.0000 0.0000 0.0000  2 In 2.82
In: 0.0000 0.0000 0.5000  4 Ru 2.45
Te: 0.5000 0.5000 0.0000  4 Y 3.46, 8 Ru 3.73
Ru: 0.0000 0.5000 0.5000  2 In 2.45
Ru: 0.5000 0.0000 0.5000  2 In 2.45

- calculated density (Mg/m³) = 6.6
- uncorrected formation energy (eV per atom) = 1.029
- spin magnetization (μB/f.u.) = 2.2



[12]
Here is a relaxed Tl2FeAg crystal from the Alexandria database. Energies are from PBE-GGA.

Cell lengths 3.5374, 4.4769, 5.7137 Å; angles 90.00, 107.94, 90.00 degrees
With the nearest neighbours (Å) after each atom.
Fractional positions:
Tl: 0.0000 0.0000 0.0000  3 Fe 2.85-3.14, 4 Ag 2.99
Tl: 0.3019 0.5000 0.6076  4 Fe 2.94, 3 Ag 2.98-3.04
Fe: 0.7354 0.0000 0.4758  2 Ag 2.80, 6 Tl 2.85-3.13
Ag: 0.5832 0.5000 0.1673  2 Fe 2.80, 7 Tl 2.98-3.04

- distance to the lowest polymorph of the same formula (meV per atom) = 42
- calculated density (Mg/m³) = 11.0
- ΔE_f (eV per formula unit) = 1.81
- spin magnetization (μB/f.u.) = 2.8



[13]
Here is a relaxed BeNbRh crystal from the Alexandria database. Energies are from PBE-GGA.

Cell lengths 4.2389, 4.2389, 5.2652 Å; angles 90.00, 90.00, 120.00 degrees
With the nearest neighbours (Å) after each atom.
Fractional positions:
Be: 0.3333 0.6667 0.2500  5 Rh 2.45-2.63
Be: 0.6667 0.3333 0.7500  5 Rh 2.45-2.63
Nb: 0.0000 0.0000 0.0000  2 Nb 2.63, 6 Be 2.78, 6 Rh 2.78
Nb: 0.0000 0.0000 0.5000  2 Nb 2.63, 6 Be 2.78, 6 Rh 2.78
Rh: 0.3333 0.6667 0.7500  5 Be 2.45-2.63
Rh: 0.6667 0.3333 0.2500  5 Be 2.45-2.63

- distance to the lowest polymorph of the same formula (meV per atom) = 59
- calculated density (Mg/m³) = 8.3
- ΔE_f (eV per formula unit) = -1.25
- spin magnetization (μB/f.u.) = 0.0



[14]
Here is a relaxed AlPt2Pb crystal from the Alexandria database. Energies are from PBE-GGA.

Cell lengths 4.8769, 4.8769, 4.8769 Å; angles 131.28, 115.44, 84.88 degrees
With the nearest neighbours (Å) after each atom.
Fractional positions:
Al: 0.0000 0.0000 0.0000  4 Pt 2.52
Pt: 0.2099 0.7099 0.5000  2 Al 2.52
Pt: 0.7901 0.2901 0.5000  2 Al 2.52
Pb: 0.5000 0.5000 0.0000  8 Pt 2.90-3.01

- calculated density (Mg/m³) = 13.7
- ΔE_f (eV per formula unit) = -1.17
- spin magnetization (μB/f.u.) = 0.0



[15]
Here is a relaxed AgTeCl2 crystal from the Alexandria database. Energies are from PBE-GGA.

Cell lengths 3.8086, 3.8086, 8.8968 Å; angles 90.00, 90.00, 119.42 degrees
With the nearest neighbours (Å) after each atom.
Fractional positions:
Ag: 0.0000 0.0000 0.0000  2 Cl 2.46, 2 Te 2.75
Te: 0.5000 0.5000 0.2211  2 Ag 2.75, 2 Cl 2.79
Cl: 0.0000 0.0000 0.4486  2 Te 2.79
Cl: 0.5000 0.5000 0.8264  2 Ag 2.46

- distance to the lowest polymorph of the same formula (meV per atom) = 207
- calculated density (Mg/m³) = 4.5
- uncorrected formation energy (eV per atom) = -0.135
- spin magnetization (μB/f.u.) = 0.0



[16]
Here is a relaxed Ac4Bi2TeSe crystal from the Alexandria database. Energies are from PBE-GGA.

Cell lengths 8.1603, 4.7715, 8.2588 Å; angles 90.00, 109.74, 90.00 degrees
With the nearest neighbours (Å) after each atom.
Fractional positions:
Ac: 0.2403 0.0000 0.2396  2 Se 3.29, 3 Bi 3.35-3.42, 1 Te 3.36
Ac: 0.2447 0.5000 0.7560  1 Se 3.28, 3 Bi 3.36-3.43, 2 Te 3.36
Ac: 0.7553 0.5000 0.2440  1 Se 3.28, 3 Bi 3.36-3.43, 2 Te 3.36
Ac: 0.7597 0.0000 0.7604  2 Se 3.29, 3 Bi 3.35-3.42, 1 Te 3.36
Bi: 0.5000 0.0000 0.0000  6 Ac 3.35-3.36
Bi: 0.5000 0.5000 0.5000  6 Ac 3.42-3.43
Te: 0.0000 0.0000 0.5000  6 Ac 3.36
Se: 0.0000 0.5000 0.0000  6 Ac 3.28-3.29

- calculated density (Mg/m³) = 8.4
- uncorrected formation energy (eV per atom) = -1.337
- spin magnetization (μB/f.u.) = 0.0



[17]
Here is a relaxed Pm3SiAs crystal from the Alexandria database. Energies are from PBE-GGA.

Cell lengths 5.4352, 5.4352, 5.4352 Å; angles 90.00, 90.00, 90.00 degrees
With the nearest neighbours (Å) after each atom.
Fractional positions:
Pm: 0.0000 0.0000 0.5000  2 Si 2.72
Pm: 0.0000 0.5000 0.0000  2 Si 2.72
Pm: 0.5000 0.0000 0.0000  2 Si 2.72
Si: 0.0000 0.0000 0.0000  6 Pm 2.72
As: 0.5000 0.5000 0.5000  12 Pm 3.84

- calculated density (Mg/m³) = 5.6
- uncorrected formation energy (eV per atom) = -0.236
- spin magnetization (μB/f.u.) = 0.0



[18]
Here is a relaxed Ba2Sr2Bi2Se crystal from the Alexandria database. Energies are from PBE-GGA.

Cell lengths 10.1132, 10.1132, 10.1132 Å; angles 147.22, 147.22, 47.04 degrees
With the nearest neighbours (Å) after each atom.
Fractional positions:
Ba: 0.1781 0.1781 0.0000  1 Se 3.30, 1 Bi 3.57
Ba: 0.8219 0.8219 0.0000  1 Se 3.30, 1 Bi 3.57
Sr: 0.0000 0.5000 0.5000  2 Se 2.85
Sr: 0.5000 0.0000 0.5000  2 Se 2.85
Bi: 0.3706 0.3706 0.0000  1 Ba 3.57, 4 Sr 3.73
Bi: 0.6294 0.6294 0.0000  1 Ba 3.57, 4 Sr 3.73
Se: 0.0000 0.0000 0.0000  4 Sr 2.85

- calculated density (Mg/m³) = 5.2
- uncorrected formation energy (eV per atom) = -1.169
- spin magnetization (μB/f.u.) = 0.0



[19]
Here is a relaxed Sm2NpUN4 crystal from the Alexandria database. Energies are from PBE-GGA.

Cell lengths 6.0425, 3.4964, 6.1129 Å; angles 90.00, 109.36, 90.00 degrees
With the nearest neighbours (Å) after each atom.
Fractional positions:
Sm: 0.0000 0.0000 0.0000  6 N 2.60-2.61
Sm: 0.5000 0.5000 0.0000  6 N 2.55-2.56
Np: 0.0000 0.5000 0.5000  6 N 2.40-2.42
U: 0.5000 0.0000 0.5000  6 N 2.36-2.37
N: 0.2471 0.0000 0.7218  1 U 2.36, 2 Np 2.40, 3 Sm 2.56-2.61
N: 0.2664 0.5000 0.2790  2 U 2.37, 1 Np 2.42, 3 Sm 2.55-2.60
N: 0.7336 0.5000 0.7210  2 U 2.37, 1 Np 2.42, 3 Sm 2.55-2.60
N: 0.7529 0.0000 0.2782  1 U 2.36, 2 Np 2.40, 3 Sm 2.56-2.61

- calculated density (Mg/m³) = 11.3
- uncorrected formation energy (eV per atom) = -1.378
- spin magnetization (μB/f.u.) = 4.2



[20]
Here is a relaxed PmH6Pd3 crystal from the Alexandria database. Energies are from PBE-GGA.

Cell lengths 5.3360, 5.3360, 5.3360 Å; angles 55.68, 55.68, 55.68 degrees
With the nearest neighbours (Å) after each atom.
Fractional positions:
Pm: 0.0000 0.0000 0.0000  9 H 2.42-2.64
H: 0.0225 0.5359 0.5001  2 Pd 1.83-1.94
H: 0.1605 0.5206 0.8517  3 Pd 1.83-1.91
H: 0.5001 0.0225 0.5359  2 Pd 1.83-1.94
H: 0.5206 0.8517 0.1605  3 Pd 1.83-1.91
H: 0.5359 0.5001 0.0225  2 Pd 1.83-1.94
H: 0.8517 0.1605 0.5206  3 Pd 1.83-1.91
Pd: 0.2331 0.2331 0.2331  3 H 1.83
Pd: 0.4498 0.4498 0.4498  6 H 1.91-1.94
Pd: 0.7681 0.7681 0.7681  6 H 1.83-1.90

- distance to the lowest polymorph of the same formula (meV per atom) = 0
- calculated density (Mg/m³) = 8.1
- spin magnetization (μB/f.u.) = 0.0



| no. | final energy (eV/atom) |
| --- | --- |
| 1 | -7.804 |
| 2 | -7.107 |
| 3 | -4.599 |
| 4 | -5.818 |
| 5 | -5.915 |
| 6 | -4.756 |
| 7 | -4.726 |
| 8 | -1.425 |
| 9 | -7.957 |
| 10 | -6.350 |
| 11 | -5.151 |
| 12 | -3.559 |
| 13 | -7.466 |
| 14 | -5.176 |
| 15 | -2.556 |
| 16 | -5.190 |
| 17 | -5.101 |
| 18 | -3.806 |
| 19 | -9.749 |
| 20 | -4.370 |